w.
Entry from Alexandria via LeMat-Bulk: a relaxed structure of SiAgTe2 (PBEsol).

Computed properties:
N(E_F): 0.297 states/eV/atom

a = 3.9884 Å, b = 3.9884 Å, c = 20.1619 Å
α = 90.00°, β = 90.00°, γ = 120.00°
Last column: nearest neighbours and their distance in Å.
Space group R-3m (No. 166, hexagonal axes)
One atom of each set of equivalent atoms:
Si 0.0000 0.0000 0.0000  6 Te 2.80
Ag 0.0000 0.0000 0.5000  6 Te 2.91
Te 0.0000 0.0000 0.2547  3 Si 2.80, 3 Ag 2.91


x.
Entry from Alexandria via LeMat-Bulk: a relaxed structure of SiAgTe2 (PBEsol).

Computed properties:
N(E_F): 0.634 states/eV/atom

a = 6.0682 Å, b = 6.0682 Å, c = 13.1699 Å
α = 90.00°, β = 90.00°, γ = 90.00°
Last column: nearest neighbours and their distance in Å.
Space group I-42d (No. 122)
One atom of each set of equivalent atoms:
Si 0.0000 0.0000 0.0000  4 Te 2.65
Ag 0.0000 0.0000 0.5000  4 Te 2.76
Te 0.2326 0.2500 0.1250  2 Si 2.65, 2 Ag 2.76


Taking the most stable structure as the zero point, the relative energies in kJ/mol of atoms are w 0.0; x 15.2.